# 1
This record from Alexandria describes crystalline AgSbI at its relaxed geometry. The functional is PBE-GGA.

Structure (CIF):
```
data_AgSbI
_chemical_formula_sum 'Ag2 Sb2 I2'
_cell_length_a 12.0247
_cell_length_b 3.8115
_cell_length_c 4.3313
_cell_angle_alpha 90.00
_cell_angle_beta 98.59
_cell_angle_gamma 90.00
_space_group_name_H-M_alt 'C 1 m 1'
_space_group_IT_number 8
loop_
_space_group_symop_operation_xyz
'x,y,z'
'x,-y,z'
'x+1/2,y+1/2,z'
'x+1/2,-y+1/2,z'
loop_
_atom_site_label
_atom_site_type_symbol
_atom_site_fract_x
_atom_site_fract_y
_atom_site_fract_z
_atom_site_occupancy
Ag1 Ag 0.0000 0.0000 0.0000 1
Sb1 Sb 0.0263 0.5000 0.5050 1
I1 I 0.2654 0.5000 0.5630 1
```

**Raw formation energy**: 49 meV per atom
**Total magnetization**: 0.000 μB per cell
**Polymorph energy (0 for the lowest one)**: 0.156 eV per atom
**ρ**: 6.0 g cm⁻³

---

# 2
This record from Alexandria describes crystalline Ag2Sb2I at its relaxed geometry. The functional is PBE-GGA.

Structure (CIF):
```
data_Ag2Sb2I
_chemical_formula_sum 'Ag4 Sb4 I2'
_cell_length_a 9.1895
_cell_length_b 9.1895
_cell_length_c 3.0755
_cell_angle_alpha 90.00
_cell_angle_beta 90.00
_cell_angle_gamma 90.00
_space_group_name_H-M_alt 'P 4/m b m'
_space_group_IT_number 127
_space_group_name_Hall '-P 4 2ab'
loop_
_atom_site_label
_atom_site_type_symbol
_atom_site_fract_x
_atom_site_fract_y
_atom_site_fract_z
_atom_site_occupancy
Ag1 Ag 0.1558 0.3442 0.0000 1
Sb1 Sb 0.1323 0.6323 0.5000 1
I1 I 0.0000 0.0000 0.0000 1
```

**Raw formation energy**: 186 meV per atom
**Total magnetization**: 0.000 μB per cell
**Polymorph energy (0 for the lowest one)**: 0.000 eV per atom
**ρ**: 7.5 g cm⁻³

---

# 3
This record from Alexandria describes crystalline ScAgSbI2 at its relaxed geometry. The functional is PBE-GGA.

Structure (CIF):
```
data_ScAgSbI2
_chemical_formula_sum 'Sc1 Ag1 Sb1 I2'
_cell_length_a 5.6162
_cell_length_b 5.6162
_cell_length_c 5.7936
_cell_angle_alpha 90.00
_cell_angle_beta 90.00
_cell_angle_gamma 90.00
_space_group_name_H-M_alt 'P 4/m m m'
_space_group_IT_number 123
_space_group_name_Hall '-P 4 2'
loop_
_atom_site_label
_atom_site_type_symbol
_atom_site_fract_x
_atom_site_fract_y
_atom_site_fract_z
_atom_site_occupancy
Sc1 Sc 0.0000 0.0000 0.0000 1
Ag1 Ag 0.5000 0.5000 0.5000 1
Sb1 Sb 0.0000 0.0000 0.5000 1
I1 I 0.0000 0.5000 0.0000 1
```

**Raw formation energy**: -64 meV per atom
**Total magnetization**: 0.000 μB per cell
**Polymorph energy (0 for the lowest one)**: 0.000 eV per atom
**ρ**: 4.8 g cm⁻³

---

# 4
This record from Alexandria describes crystalline AgSb2SeI at its relaxed geometry. The functional is PBE-GGA.

Structure (CIF):
```
data_AgSb2SeI
_chemical_formula_sum 'Ag1 Sb2 Se1 I1'
_cell_length_a 5.4556
_cell_length_b 5.4556
_cell_length_c 5.8459
_cell_angle_alpha 90.00
_cell_angle_beta 90.00
_cell_angle_gamma 90.00
_space_group_name_H-M_alt 'P 4/m m m'
_space_group_IT_number 123
_space_group_name_Hall '-P 4 2'
loop_
_atom_site_label
_atom_site_type_symbol
_atom_site_fract_x
_atom_site_fract_y
_atom_site_fract_z
_atom_site_occupancy
Ag1 Ag 0.0000 0.0000 0.0000 1
Sb1 Sb 0.0000 0.5000 0.5000 1
Se1 Se 0.5000 0.5000 0.5000 1
I1 I 0.5000 0.5000 0.0000 1
```

**Raw formation energy**: 736 meV per atom
**Total magnetization**: 0.894 μB per cell
**Polymorph energy (0 for the lowest one)**: 0.046 eV per atom
**ρ**: 5.3 g cm⁻³